# HfCoPO GGA+U relaxed
# Total DFT energy (no corrections) = -7.893 eV/atom
# Spin magnetization = 0.85 μB/f.u.
data_HfCoPO
_chemical_formula_sum 'Hf2 Co2 P2 O2'
_symmetry_space_group_name_H-M 'P 4/n m m'
_symmetry_Int_Tables_number 129
_cell_length_a 3.6211
_cell_length_b 3.6211
_cell_length_c 7.3995
_cell_angle_alpha 90.00
_cell_angle_beta 90.00
_cell_angle_gamma 90.00
loop_
_symmetry_equiv_pos_as_xyz
'x,y,z'
'-x,-y,-z'
'-y+1/2,x,z'
'y+1/2,-x,-z'
'-x+1/2,-y+1/2,z'
'x+1/2,y+1/2,-z'
'y,-x+1/2,z'
'-y,x+1/2,-z'
'x+1/2,-y,-z'
'-x+1/2,y,z'
'-y,-x,-z'
'y,x,z'
'-x,y+1/2,-z'
'x,-y+1/2,z'
'y+1/2,x+1/2,-z'
'-y+1/2,-x+1/2,z'
loop_
_atom_site_label
_atom_site_fract_x
_atom_site_fract_y
_atom_site_fract_z
Hf1 0.2500 0.2500 0.1649
Co1 0.2500 0.7500 0.5000
P1 0.2500 0.2500 0.6627
O1 0.2500 0.7500 0.0000